Below is Fe2Se3 after structural relaxation, with properties calculated at the PBE level.

It has space group R-3m (No. 166, hexagonal axes), with a = 3.1124 Å, b = 3.1124 Å, c = 31.1484 Å, α = 90.00°, β = 90.00° and γ = 120.00°. The asymmetric unit holds Fe at (0.0000, 0.0000, 0.1948), Se at (0.0000, 0.0000, 0.0000) and Se at (0.0000, 0.0000, 0.4214).

The magnetic moment comes out at 13.51 μB/cell. The calculated volume is 17.42 A^3/atom. As for the calculated total energy: -78.704 eV per cell.